# Ce2FeP2O, optimized geometry, DFT PBE+U
data_Ce2FeP2O
_chemical_formula_sum 'Ce2 Fe1 P2 O1'
_cell_length_a 3.0590
_cell_length_b 3.0590
_cell_length_c 14.4061
_cell_angle_alpha 90.00
_cell_angle_beta 90.00
_cell_angle_gamma 90.00
_symmetry_space_group_name_H-M 'P 4/m m m'
_symmetry_Int_Tables_number 123
_symmetry_space_group_name_Hall '-P 4 2'
loop_
_atom_site_label
_atom_site_fract_x
_atom_site_fract_y
_atom_site_fract_z
_atom_site_occupancy
Ce1 0.0000 0.0000 0.1439 1
Fe1 0.0000 0.0000 0.5000 1
P1 0.0000 0.0000 0.3367 1
O1 0.0000 0.0000 0.0000 1
# magnetization = 3.30 μB/cell
# electronic total energy = -34.081 eV per formula unit
# density of states at the Fermi level = 1.141 states/eV per atom